[1]
Here is MgTiGe2O6 after structural relaxation from the Alexandria database. Energies are from PBE-GGA.

Unit cell a=10.667 b=8.664 c=5.126 alpha=90.00 beta=102.00 gamma=90.00
Space group C2/c (No. 15)
Unique sites:
Mg 0.000 0.186 0.250
Ti 0.000 0.399 0.750
Ge 0.212 0.124 0.872
O 0.099 0.252 0.622
O 0.108 0.418 0.112
O 0.147 0.049 0.163

Results
energy relative to the elements, uncorrected = -2094 meV per atom
VASP energy = -277.640 eV per cell
excess energy over the best structure of this formula in the dataset = 73 meV/atom

[2]
Here is MgTiGeO5 after structural relaxation from the Alexandria database. Energies are from PBE-GGA.

Unit cell a=6.354 b=8.804 c=7.175 alpha=90.00 beta=113.54 gamma=90.00
Space group C2/c (No. 15)
Unique sites:
Mg 0.000 0.180 0.250
Ti 0.000 0.500 0.000
Ge 0.000 0.185 0.750
O 0.000 0.416 0.250
O 0.141 0.301 0.633
O 0.181 0.060 0.935

Results
energy relative to the elements, uncorrected = -2368 meV per atom
VASP energy = -231.383 eV per cell

[3]
Here is Mg2TiGeO6 after structural relaxation from the Alexandria database. Energies are from PBE-GGA.

Unit cell a=5.113 b=5.113 c=4.692 alpha=90.00 beta=90.00 gamma=90.00
Space group P4mm (No. 99)
Unique sites:
Mg 0.000 0.500 0.000
Ti 0.000 0.000 0.637
Ge 0.500 0.500 0.641
O 0.000 0.000 0.267
O 0.254 0.254 0.782
O 0.500 0.500 0.271

Results
energy relative to the elements, uncorrected = -2299 meV per atom
VASP energy = -68.436 eV per cell

[4]
Here is MgTl2GeO6 after structural relaxation from the Alexandria database. Energies are from PBE-GGA.

Unit cell a=5.241 b=5.241 c=4.890 alpha=90.00 beta=90.00 gamma=90.00
Space group P4mm (No. 99)
Unique sites:
Mg 0.000 0.000 0.000
Tl 0.000 0.500 0.424
Ge 0.500 0.500 0.019
O 0.000 0.000 0.593
O 0.260 0.260 0.137
O 0.500 0.500 0.651

Results
energy relative to the elements, uncorrected = -1118 meV per atom
VASP energy = -51.873 eV per cell

[5]
Here is MgUGeO6 after structural relaxation from the Alexandria database. Energies are from PBE-GGA.

Unit cell a=5.2454 b=5.2454 c=9.1059 alpha=90.00 beta=90.00 gamma=120.00
Space group P-31c (No. 163)
Unique sites:
Mg 0.0000 0.0000 0.0000
U 0.3333 0.6667 0.2500
Ge 0.3333 0.6667 0.7500
O 0.0246 0.3578 0.6338

Results
energy relative to the elements, uncorrected = -2403 meV per atom
VASP energy = -137.762 eV per cell